w.
Rb2ScAuI6 | PBE | relaxed

a b c (Å): 8.437 8.457 8.703
angles (deg): 60.90 60.93 59.96
Sites, in units of the cell vectors:
Rb: 0.562 0.562 0.313
Rb: 0.050 0.049 0.853
Sc: 0.318 0.318 0.045
Au: 0.736 0.739 0.787
I: 0.573 0.154 0.245
I: 0.154 0.028 0.245
I: 0.028 0.572 0.245
I: 0.497 0.631 0.760
I: 0.632 0.111 0.761
I: 0.110 0.496 0.761

---

x.
Rb2ScAuI6 | PBE | relaxed

a b c (Å): 8.289 8.289 8.446
angles (deg): 60.61 60.61 90.00
Sites, in units of the cell vectors:
I: 0.262 0.262 0.475
I: 0.738 0.738 0.525
I: 0.251 0.251 0.000
I: 0.749 0.749 0.000
I: 0.749 0.251 0.000
I: 0.251 0.749 0.000
Sc: 0.500 0.500 0.000
Au: 0.000 0.000 0.000
Rb: 0.750 0.250 0.500
Rb: 0.250 0.750 0.500

---

Which is the most stable structure? w is the most stable.

---

w.
Rb2SnAuI6 | PBE | relaxed

a b c (Å): 8.438 8.438 8.468
angles (deg): 60.11 60.11 90.00
Sites, in units of the cell vectors:
I: 0.247 0.247 0.505
I: 0.753 0.753 0.495
I: 0.246 0.246 0.000
I: 0.754 0.754 0.000
I: 0.754 0.246 0.000
I: 0.246 0.754 0.000
Au: 0.000 0.000 0.000
Sn: 0.500 0.500 0.000
Rb: 0.750 0.250 0.500
Rb: 0.250 0.750 0.500

---

x.
Rb2SnAuI6 | PBE | relaxed

a b c (Å): 8.296 8.439 12.029
angles (deg): 90.00 89.73 90.00
Sites, in units of the cell vectors:
Rb: 0.016 0.949 0.251
Rb: 0.516 0.551 0.751
Rb: 0.984 0.051 0.749
Rb: 0.484 0.449 0.249
Sn: 0.500 0.000 0.500
Sn: 0.000 0.500 0.000
Au: 0.500 0.000 0.000
Au: 0.000 0.500 0.500
I: 0.291 0.720 0.029
I: 0.791 0.780 0.529
I: 0.709 0.280 0.971
I: 0.209 0.220 0.471
I: 0.281 0.709 0.472
I: 0.781 0.791 0.972
I: 0.719 0.291 0.528
I: 0.219 0.209 0.028
I: 0.944 0.502 0.252
I: 0.444 0.998 0.752
I: 0.056 0.498 0.748
I: 0.556 0.002 0.248

---

Which is the most stable structure? x is the most stable.

---

w.
RbTe2AuI | PBE | relaxed

a b c (Å): 5.557 5.557 6.002
angles (deg): 90.00 90.00 90.00
Sites, in units of the cell vectors:
I: 0.000 0.000 0.500
Te: 0.000 0.500 0.000
Te: 0.500 0.000 0.000
Au: 0.000 0.000 0.000
Rb: 0.500 0.500 0.500

---

x.
RbTe2AuI | PBE | relaxed

a b c (Å): 6.931 6.931 6.697
angles (deg): 90.00 90.00 90.00
Last column: magnetic moment on the atom in μB.
Sites, in units of the cell vectors:
I: 0.000 0.000 0.500  0.14
Te: 0.000 0.500 0.000  0.86
Te: 0.500 0.000 0.000  0.86
Au: 0.500 0.500 0.500  -0.23
Rb: 0.000 0.000 0.000  0.01

---

Which is the most stable structure? w is the most stable.

---

w.
ReAuI3 | PBE | relaxed

a b c (Å): 5.479 5.479 5.479
angles (deg): 90.00 90.00 90.00
Last column: magnetic moment on the atom in μB.
Sites, in units of the cell vectors:
I: 0.000 0.500 0.000  0.06
I: 0.000 0.000 0.500  0.06
I: 0.500 0.000 0.000  0.13
Re: 0.000 0.000 0.000  2.07
Au: 0.500 0.500 0.500  -0.10

---

x.
ReAuI3 | PBE | relaxed

a b c (Å): 5.682 5.682 5.682
angles (deg): 90.00 90.00 90.00
Last column: magnetic moment on the atom in μB.
Sites, in units of the cell vectors:
I: 0.000 0.500 0.000  0.10
I: 0.000 0.000 0.500  0.06
I: 0.500 0.000 0.000  0.06
Re: 0.500 0.500 0.500  4.44
Au: 0.000 0.000 0.000  0.01

---

Which is the most stable structure? w is the most stable.